DFT (PBE with a Hubbard U) results for a relaxed TaFeSb2F crystal. Values from VASP.

Geometry as Quantum ESPRESSO input:
```
&SYSTEM
  ibrav = 0, nat = 5, ntyp = 4
/
ATOMIC_SPECIES
Sb 121.76 Sb.upf
F 19.00 F.upf
Fe 55.84 Fe.upf
Ta 180.95 Ta.upf
CELL_PARAMETERS angstrom
5.0508 0.0000 0.0000
0.0000 3.8574 0.0000
0.0000 0.0000 5.0508
ATOMIC_POSITIONS crystal
Sb 0.0000 0.0000 0.5000
Sb 0.5000 0.0000 0.0000
F 0.0000 0.0000 0.0000
Fe 0.0000 0.5000 0.0000
Ta 0.5000 0.5000 0.5000
```

Computed properties:
DOS at the Fermi energy (states/eV/f.u.): 3.4
Space-group type: No. 123
Total magnetization (μB per atom): 0.696
Final energy (eV per atom): -5.345